First-principles (PBE) data for a geometry-optimized K2Tl3WSe6 structure, as listed in the Alexandria database.

Unit cell a=7.7241 b=14.0227 c=7.3280 alpha=90.00 beta=112.08 gamma=90.00
Space group C2/m (No. 12)
One atom of each set of equivalent atoms:
K 0.0000 0.1737 0.0000 x4
Tl 0.0000 0.0000 0.5000 x2
Tl 0.0000 0.3547 0.5000 x4
W 0.0000 0.5000 0.0000 x2
Se 0.2063 0.5000 0.7911 x4
Se 0.2088 0.3726 0.2220 x8

Values from the calculation:
Calculated density, g/cm³: 6.1
ΔE_f (raw), meV/atom: -538
DFT total energy, eV/atom: -4.134
Fermi-level density of states, states/eV per cell: 2.5